A plane-wave DFT calculation with GGA+U was carried out for a relaxed VTcCl2O crystal.

POSCAR file:
```
VTcCl2O
1.0
-2.176 2.618 4.115
-2.681 -2.434 0.131
2.859 -2.966 3.399
Cl Tc O V
2 1 1 1
direct
0.000 0.000 0.500
0.500 0.000 0.000
0.000 0.500 0.000
0.000 0.000 0.000
0.500 0.500 0.500
```

Calculated total energy = -0.352 Ry per atom
ρ = 3.788 g/cm3
Space-group type = P4/mmm
M_tot = 0.57 μB/atom